Entry 1:
DFT (PBE) results for a geometry-optimized BeRuSe2 structure.

a b c (Å): 5.355 5.355 5.355
angles (deg): 148.18 128.62 61.72
Fractional positions:
Be 0.000 0.000 0.000
Ru 0.227 0.727 0.500
Se 0.454 0.454 0.000
Se 0.757 0.257 0.500

As for the space group: Imm2 (44). As for the uncorrected formation energy: 396 meV per atom.

---

Entry 2:
DFT (PBE) results for a geometry-optimized TaPdAu structure.

a b c (Å): 6.396 6.396 6.396
angles (deg): 153.86 153.86 37.31
Fractional positions:
Ta 0.000 0.000 0.000
Pd 0.656 0.656 0.000
Au 0.331 0.331 0.000

The calculation puts the excess energy over the best structure of this formula in the dataset at 0.082 eV/atom. As for the space group: I4mm (107). The calculated formation energy comes out at -0.66 eV/f.u.

---

Entry 3:
DFT (PBE) results for a geometry-optimized AgPd structure.

a b c (Å): 8.661 7.947 4.728
angles (deg): 81.98 65.30 32.72
Fractional positions:
Ag 0.038 0.712 0.038
Ag 0.288 0.962 0.288
Ag 0.712 0.038 0.712
Ag 0.962 0.288 0.962
Pd 0.290 0.290 0.460
Pd 0.460 0.460 0.290
Pd 0.540 0.540 0.710
Pd 0.710 0.710 0.540

As for the space group: Fddd (70). The calculated formation energy comes out at 0.30 eV/f.u.

---

Entry 4:
DFT (PBE) results for a geometry-optimized Cd2CuAs structure.

a b c (Å): 4.109 4.307 4.320
angles (deg): 90.00 90.00 90.00
Fractional positions:
Cd 0.000 0.000 0.000
Cd 0.000 0.500 0.500
Cu 0.500 0.000 0.500
As 0.500 0.500 0.000

As for the space group: Pmmm (47). The calculated formation energy comes out at 0.66 eV/f.u.

---

Entry 5:
DFT (PBE) results for a geometry-optimized Ho2SiAu structure.

a b c (Å): 5.814 4.244 8.009
angles (deg): 90.00 110.68 90.00
Fractional positions:
Ho 0.214 0.250 0.427
Ho 0.219 0.250 0.930
Ho 0.781 0.750 0.070
Ho 0.786 0.750 0.573
Si 0.336 0.750 0.710
Si 0.664 0.250 0.290
Au 0.338 0.750 0.210
Au 0.662 0.250 0.790

As for the space group: P2_1/m (11). As for the uncorrected formation energy: -788 meV per atom.

---

Entry 6:
DFT (PBE) results for a geometry-optimized PAu2Br structure.

a b c (Å): 7.348 7.348 7.348
angles (deg): 30.48 30.48 30.48
Fractional positions:
P 0.000 0.000 0.000
Au 0.287 0.287 0.287
Au 0.541 0.541 0.541
Br 0.797 0.797 0.797

The calculation puts the excess energy over the best structure of this formula in the dataset at 0.075 eV/atom. As for the space group: R3m (160). As for the uncorrected formation energy: 160 meV per atom.

---

Entry 7:
DFT (PBE) results for a geometry-optimized Er4ScS5 structure.

a b c (Å): 13.831 13.831 13.831
angles (deg): 164.07 164.07 22.61
Fractional positions:
Er 0.099 0.099 0.000
Er 0.300 0.300 0.000
Er 0.700 0.700 0.000
Er 0.901 0.901 0.000
Sc 0.500 0.500 0.000
S 0.000 0.000 0.000
S 0.199 0.199 0.000
S 0.402 0.402 0.000
S 0.598 0.598 0.000
S 0.801 0.801 0.000

As for the space group: I4/mmm (139). As for the uncorrected formation energy: -1925 meV per atom.

---

Entry 8:
DFT (PBE) results for a geometry-optimized I structure.

a b c (Å): 14.190 14.190 4.861
angles (deg): 90.00 90.00 120.00
Fractional positions:
I 0.116 0.414 0.250
I 0.169 0.650 0.250
I 0.298 0.884 0.250
I 0.350 0.519 0.250
I 0.414 0.298 0.750
I 0.481 0.831 0.250
I 0.519 0.169 0.750
I 0.586 0.702 0.250
I 0.650 0.481 0.750
I 0.702 0.116 0.750
I 0.831 0.350 0.750
I 0.884 0.586 0.750

The calculation puts the excess energy over the best structure of this formula in the dataset at 0.085 eV/atom. As for the space group: P6_3/m (176). As for the uncorrected formation energy: 85 meV per atom.

---

Entry 9:
DFT (PBE) results for a geometry-optimized BeSiSb structure.

a b c (Å): 6.177 5.973 3.200
angles (deg): 78.29 71.22 30.48
Fractional positions:
Be 0.000 0.000 0.000
Si 0.407 0.407 0.593
Sb 0.659 0.659 0.341

The calculation puts the excess energy over the best structure of this formula in the dataset at 0.329 eV/atom. As for the space group: Fmm2 (42). As for the uncorrected formation energy: 518 meV per atom.

---

Entry 10:
DFT (PBE) results for a geometry-optimized NaAsWBr2 structure.

a b c (Å): 4.903 4.903 5.510
angles (deg): 90.00 90.00 90.00
Fractional positions:
Na 0.000 0.000 0.000
As 0.000 0.000 0.500
W 0.500 0.500 0.500
Br 0.000 0.500 0.000
Br 0.500 0.000 0.000

The calculation puts the excess energy over the best structure of this formula in the dataset at 1.501 eV/atom. As for the space group: P4/mmm (123). As for the uncorrected formation energy: 1493 meV per atom.

---

Entry 11:
DFT (PBE) results for a geometry-optimized PmPrSm2 structure.

a b c (Å): 3.674 3.674 11.806
angles (deg): 90.00 90.00 120.00
Fractional positions:
Pm 0.000 0.000 0.000
Pr 0.000 0.000 0.500
Sm 0.333 0.667 0.752
Sm 0.667 0.333 0.248

The calculation puts the excess energy over the best structure of this formula in the dataset at 0.000 eV/atom. As for the space group: P-3m1 (164). The calculated formation energy comes out at -0.01 eV/f.u.

---

Entry 12:
DFT (PBE) results for a geometry-optimized MgZr5Zn structure.

a b c (Å): 7.613 7.613 6.134
angles (deg): 98.55 98.55 62.88
Fractional positions:
Mg 0.215 0.785 0.750
Mg 0.785 0.215 0.250
Zr 0.092 0.280 0.559
Zr 0.165 0.835 0.250
Zr 0.280 0.092 0.059
Zr 0.359 0.414 0.369
Zr 0.414 0.359 0.869
Zr 0.586 0.641 0.131
Zr 0.641 0.586 0.631
Zr 0.720 0.908 0.941
Zr 0.835 0.165 0.750
Zr 0.908 0.720 0.441
Zn 0.000 0.500 0.000
Zn 0.500 0.000 0.500

As for the space group: C2/c (15). The calculated formation energy comes out at 0.78 eV/f.u.

---

| no. | total magnetization (μB/cell) | volume (Å³ per cell) | final energy (eV per atom) |
| --- | --- | --- | --- |
| 1 | 0.000 | 63 | -4.60 |
| 2 | 0.000 | 51 | -6.99 |
| 3 | 0.000 | 144 | -3.87 |
| 4 | 0.000 | 76 | -2.48 |
| 5 | 0.000 | 185 | -5.25 |
| 6 | 0.000 | 90 | -3.25 |
| 7 | 0.000 | 199 | -6.45 |
| 8 | 0.000 | 848 | -1.47 |
| 9 | 0.000 | 56 | -3.91 |
| 10 | 1.049 | 132 | -2.96 |
| 11 | 0.000 | 138 | -4.74 |
| 12 | 0.000 | 312 | -6.40 |